ScZn2Cl after structural relaxation, computed with PBEsol.

Computed properties:
- spin magnetization (Bohr magnetons per cell) = 0.0
- energy above the lowest structure with this stoichiometry (meV/atom) = 244.0
- formation energy (no corrections) (eV per atom) = -0.3172

Cell lengths 3.2327, 4.8917, 4.9125 Å; angles 90.00, 90.00, 90.00 degrees
With the nearest neighbours (Å) after each atom.
Space group Pmmm (No. 47)
One atom of each set of equivalent atoms:
Sc 0.0000 0.0000 0.0000  2 Cl 2.45
Zn 0.5000 0.2463 0.5000  2 Zn 2.41-2.48
Cl 0.0000 0.5000 0.0000  2 Sc 2.45

ScZn2Cl after structural relaxation, computed with PBEsol.

Computed properties:
- spin magnetization (Bohr magnetons per cell) = 0.0
- energy above the lowest structure with this stoichiometry (meV/atom) = 0.0
- formation energy (no corrections) (eV per atom) = -0.5612

Cell lengths 3.1314, 3.1314, 7.7113 Å; angles 90.00, 90.00, 90.00 degrees
With the nearest neighbours (Å) after each atom.
Space group P4mm (No. 99)
One atom of each set of equivalent atoms:
Sc 0.0000 0.0000 0.0000  4 Cl 2.63, 4 Zn 2.95
Zn 0.0000 0.0000 0.4171  4 Zn 2.55
Zn 0.5000 0.5000 0.2524  4 Zn 2.55
Cl 0.5000 0.5000 0.8153  4 Sc 2.63

ScZnCl2 after structural relaxation, computed with PBEsol.

Computed properties:
- spin magnetization (Bohr magnetons per cell) = 0.0
- energy above the lowest structure with this stoichiometry (meV/atom) = 151.8
- formation energy (no corrections) (eV per atom) = -0.9358

Cell lengths 3.4079, 3.5043, 8.8950 Å; angles 90.00, 90.08, 90.00 degrees
With the nearest neighbours (Å) after each atom.
Space group P2/m (No. 10)
One atom of each set of equivalent atoms:
Sc 0.0000 0.0000 0.0000  4 Cl 2.46
Zn 0.5000 0.0000 0.5000  4 Zn 3.41-3.50, 8 Cl 3.66-3.67
Cl 0.0038 0.5000 0.8067  2 Sc 2.46

ScZnCl2 after structural relaxation, computed with PBEsol.

Computed properties:
- spin magnetization (Bohr magnetons per cell) = 0.0
- energy above the lowest structure with this stoichiometry (meV/atom) = 0.0
- formation energy (no corrections) (eV per atom) = -1.0876

Cell lengths 3.1287, 3.1287, 8.6907 Å; angles 90.00, 90.00, 90.00 degrees
With the nearest neighbours (Å) after each atom.
Space group P4/mmm (No. 123)
One atom of each set of equivalent atoms:
Sc 0.0000 0.0000 0.0000  8 Cl 2.67
Zn 0.0000 0.0000 0.5000  4 Zn 3.13
Cl 0.5000 0.5000 0.1726  4 Sc 2.67

ScZnCl2 after structural relaxation, computed with PBEsol.

Computed properties:
- spin magnetization (Bohr magnetons per cell) = 0.0
- energy above the lowest structure with this stoichiometry (meV/atom) = 91.7
- formation energy (no corrections) (eV per atom) = -0.9958

Cell lengths 3.1136, 4.3802, 12.5750 Å; angles 90.00, 90.00, 90.00 degrees
With the nearest neighbours (Å) after each atom.
Space group Imm2 (No. 44)
One atom of each set of equivalent atoms:
Sc 0.0000 0.0000 0.0000  6 Cl 2.56-2.71
Zn 0.0000 0.5000 0.6982  2 Sc 2.94, 6 Cl 3.05-3.21, 2 Zn 3.11
Cl 0.0000 0.0000 0.5293  4 Sc 2.71
Cl 0.0000 0.5000 0.3385  2 Sc 2.56

Sc2ZnCl after structural relaxation, computed with PBEsol.

Computed properties:
- spin magnetization (Bohr magnetons per cell) = 0.0
- formation energy (no corrections) (eV per atom) = -0.5047

Cell lengths 3.6916, 5.5437, 7.5848 Å; angles 90.00, 90.00, 90.00 degrees
With the nearest neighbours (Å) after each atom.
Space group Immm (No. 71)
One atom of each set of equivalent atoms:
Sc 0.0000 0.0000 0.2260  2 Cl 2.52, 2 Zn 2.78
Zn 0.0000 0.5000 0.0000  4 Sc 2.78
Cl 0.0000 0.5000 0.5000  4 Sc 2.52

ScZnCl2 after structural relaxation, computed with PBEsol.

Computed properties:
- spin magnetization (Bohr magnetons per cell) = 0.0
- energy above the lowest structure with this stoichiometry (meV/atom) = 525.9
- formation energy (no corrections) (eV per atom) = -0.5617

Cell lengths 3.4817, 3.4817, 28.7001 Å; angles 90.00, 90.00, 120.00 degrees
With the nearest neighbours (Å) after each atom.
Space group R-3m (No. 166, hexagonal axes)
One atom of each set of equivalent atoms:
Sc 0.0000 0.0000 0.0000  2 Cl 2.30
Zn 0.0000 0.0000 0.5000  6 Cl 3.19, 6 Zn 3.48
Cl 0.0000 0.0000 0.0802  1 Sc 2.30

ScZn2Cl after structural relaxation, computed with PBEsol.

Computed properties:
- spin magnetization (Bohr magnetons per cell) = 0.4
- energy above the lowest structure with this stoichiometry (meV/atom) = 341.7
- formation energy (no corrections) (eV per atom) = -0.2195

Cell lengths 3.3062, 3.3062, 6.7903 Å; angles 90.00, 90.00, 90.00 degrees
With the nearest neighbours (Å) after each atom.
Space group P4/mmm (No. 123)
One atom of each set of equivalent atoms:
Sc 0.0000 0.0000 0.0000  8 Zn 2.86
Zn 0.5000 0.5000 0.2424  4 Sc 2.86, 4 Cl 2.92
Cl 0.0000 0.0000 0.5000  8 Zn 2.92

ScZnCl2 after structural relaxation, computed with PBEsol.

Computed properties:
- spin magnetization (Bohr magnetons per cell) = 0.0
- energy above the lowest structure with this stoichiometry (meV/atom) = 90.5
- formation energy (no corrections) (eV per atom) = -0.9970

Cell lengths 3.2120, 3.2120, 7.7145 Å; angles 90.00, 90.00, 90.00 degrees
With the nearest neighbours (Å) after each atom.
Space group P4mm (No. 99)
One atom of each set of equivalent atoms:
Sc 0.0000 0.0000 0.0000  4 Cl 2.68, 4 Zn 2.99
Zn 0.5000 0.5000 0.2516  4 Cl 2.62
Cl 0.0000 0.0000 0.4202  4 Zn 2.62
Cl 0.5000 0.5000 0.8156  4 Sc 2.68

ScZnCl2 after structural relaxation, computed with PBEsol.

Computed properties:
- spin magnetization (Bohr magnetons per cell) = 0.7
- energy above the lowest structure with this stoichiometry (meV/atom) = 76.8
- formation energy (no corrections) (eV per atom) = -1.0108

Cell lengths 3.6497, 3.4563, 7.3074 Å; angles 90.00, 104.45, 90.00 degrees
With the nearest neighbours (Å) after each atom.
Space group Pm (No. 6)
One atom of each set of equivalent atoms:
Sc 0.0000 0.0000 0.0000  3 Cl 2.48-2.56
Zn 0.5972 0.5000 0.1950  4 Cl 2.77-2.78, 4 Sc 2.87
Cl 0.1831 0.0000 0.3611  1 Sc 2.56, 4 Zn 2.77-2.78
Cl 0.8750 0.5000 0.7495  2 Sc 2.48

Zr2ScCl after structural relaxation, computed with PBEsol.

Computed properties:
- spin magnetization (Bohr magnetons per cell) = 0.0
- energy above the lowest structure with this stoichiometry (meV/atom) = 163.3
- formation energy (no corrections) (eV per atom) = -0.0572

Cell lengths 6.0010, 8.4882, 3.1605 Å; angles 90.00, 90.00, 90.00 degrees
With the nearest neighbours (Å) after each atom.
Space group Cmmm (No. 65)
One atom of each set of equivalent atoms:
Zr 0.2500 0.2500 0.0000  4 Zr 3.00-3.16, 4 Cl 3.04, 4 Sc 3.04
Sc 0.0000 0.0000 0.5000  2 Cl 3.00, 8 Zr 3.04, 2 Sc 3.16
Cl 0.0000 0.5000 0.5000  2 Sc 3.00, 8 Zr 3.04, 2 Cl 3.16

Zr2ScCl after structural relaxation, computed with PBEsol.

Computed properties:
- spin magnetization (Bohr magnetons per cell) = 0.0
- energy above the lowest structure with this stoichiometry (meV/atom) = 0.0
- formation energy (no corrections) (eV per atom) = -0.2205

Cell lengths 4.8776, 3.1158, 11.6240 Å; angles 90.00, 90.00, 90.00 degrees
With the nearest neighbours (Å) after each atom.
Space group Amm2 (No. 38)
One atom of each set of equivalent atoms:
Zr 0.0000 0.0000 0.0000  1 Sc 2.89, 6 Zr 3.10-3.12
Zr 0.5000 0.0000 0.4042  2 Cl 2.68
Sc 0.0000 0.0000 0.7517  2 Cl 2.47
Cl 0.5000 0.0000 0.7167  2 Sc 2.47, 2 Zr 2.68

Zr2ScCl after structural relaxation, computed with PBEsol.

Computed properties:
- spin magnetization (Bohr magnetons per cell) = 0.0
- energy above the lowest structure with this stoichiometry (meV/atom) = 13.3
- formation energy (no corrections) (eV per atom) = -0.2071

Cell lengths 3.0363, 5.2646, 10.1384 Å; angles 90.00, 90.00, 90.00 degrees
With the nearest neighbours (Å) after each atom.
Space group Imm2 (No. 44)
One atom of each set of equivalent atoms:
Zr 0.0000 0.0000 0.0000  6 Zr 3.04-3.36, 4 Cl 3.04, 2 Sc 3.28
Zr 0.0000 0.5000 0.2066  2 Cl 2.62
Sc 0.0000 0.5000 0.7865  2 Cl 2.61
Cl 0.0000 0.0000 0.4963  2 Sc 2.61, 2 Zr 2.62

Zr2ScCl after structural relaxation, computed with PBEsol.

Computed properties:
- spin magnetization (Bohr magnetons per cell) = 0.0
- energy above the lowest structure with this stoichiometry (meV/atom) = 164.7
- formation energy (no corrections) (eV per atom) = -0.0558

Cell lengths 3.1647, 5.0079, 5.3915 Å; angles 90.00, 90.00, 90.00 degrees
With the nearest neighbours (Å) after each atom.
Space group Pmmm (No. 47)
One atom of each set of equivalent atoms:
Zr 0.0000 0.0000 0.2377  2 Zr 2.56-2.83
Sc 0.5000 0.5000 0.0000  2 Cl 2.70
Cl 0.5000 0.5000 0.5000  2 Sc 2.70

SeCl after structural relaxation, computed with PBEsol.

Computed properties:
- spin magnetization (Bohr magnetons per cell) = 0.0
- formation energy (no corrections) (eV per atom) = 0.0850

Cell lengths 3.8154, 7.4798, 7.3470 Å; angles 90.00, 90.00, 90.00 degrees
With the nearest neighbours (Å) after each atom.
Space group Cmme (No. 67)
One atom of each set of equivalent atoms:
Se 0.0000 0.2500 0.1074  2 Se 2.48, 2 Cl 2.60
Cl 0.0000 0.2500 0.6521  2 Se 2.60

SeCl after structural relaxation, computed with PBEsol.

Computed properties:
- spin magnetization (Bohr magnetons per cell) = 0.0
- formation energy (no corrections) (eV per atom) = -0.1550

Cell lengths 7.1778, 13.7552, 4.8030 Å; angles 90.00, 92.97, 90.00 degrees
With the nearest neighbours (Å) after each atom.
Space group P2_1/c (No. 14)
One atom of each set of equivalent atoms:
Se 0.1254 0.1333 0.3967  1 Se 2.24, 1 Cl 2.28
Se 0.2897 0.0338 0.6839  1 Se 2.24, 1 Cl 2.29
Cl 0.1580 0.6442 0.9101  1 Se 2.28
Cl 0.4349 0.1362 0.0028  1 Se 2.29

SeCl after structural relaxation, computed with PBEsol.

Computed properties:
- spin magnetization (Bohr magnetons per cell) = 0.0
- formation energy (no corrections) (eV per atom) = 0.1239

Cell lengths 3.3313, 3.3313, 9.3130 Å; angles 90.00, 90.00, 120.00 degrees
With the nearest neighbours (Å) after each atom.
Space group P6_3mc (No. 186)
One atom of each set of equivalent atoms:
Se 0.3333 0.6667 0.0000  1 Cl 2.16
Cl 0.3333 0.6667 0.2323  1 Se 2.16

SeCl4 after structural relaxation, computed with PBEsol.

Computed properties:
- spin magnetization (Bohr magnetons per cell) = 0.0
- formation energy (no corrections) (eV per atom) = -0.3607

Cell lengths 16.9083, 9.8923, 15.2909 Å; angles 90.00, 116.13, 90.00 degrees
With the nearest neighbours (Å) after each atom.
Space group C2/c (No. 15)
One atom of each set of equivalent atoms:
Se 0.0018 0.2358 0.3845  3 Cl 2.20-2.21
Se 0.1334 0.4738 0.8132  3 Cl 2.20-2.22
Cl 0.0011 0.4891 0.8689  3 Se 2.71-2.73
Cl 0.0021 0.0133 0.3725  1 Se 2.21
Cl 0.1051 0.2477 0.0710  1 Se 2.20
Cl 0.1109 0.2493 0.5316  1 Se 2.20
Cl 0.1214 0.2505 0.8056  1 Se 2.22
Cl 0.1210 0.2519 0.3079  3 Se 2.72-2.76
Cl 0.2289 0.4871 0.7514  1 Se 2.20
Cl 0.2311 0.4814 0.9676  1 Se 2.21

SiSe2Cl after structural relaxation, computed with PBEsol.

Computed properties:
- spin magnetization (Bohr magnetons per cell) = 0.0
- energy above the lowest structure with this stoichiometry (meV/atom) = 110.3
- formation energy (no corrections) (eV per atom) = 0.5132

Cell lengths 4.7252, 4.7252, 3.3214 Å; angles 90.00, 90.00, 90.00 degrees
With the nearest neighbours (Å) after each atom.
Space group P4/mmm (No. 123)
One atom of each set of equivalent atoms:
Si 0.0000 0.0000 0.0000  8 Se 2.89
Se 0.0000 0.5000 0.5000  4 Cl 2.89, 4 Si 2.89
Cl 0.5000 0.5000 0.0000  8 Se 2.89

Si2SeCl after structural relaxation, computed with PBEsol.

Computed properties:
- spin magnetization (Bohr magnetons per cell) = 0.0
- energy above the lowest structure with this stoichiometry (meV/atom) = 400.8
- formation energy (no corrections) (eV per atom) = 0.2399

Cell lengths 3.3026, 3.3026, 6.8075 Å; angles 90.00, 90.00, 90.00 degrees
With the nearest neighbours (Å) after each atom.
Space group P4/mmm (No. 123)
One atom of each set of equivalent atoms:
Si 0.0000 0.0000 0.2230  4 Se 2.79, 4 Cl 3.00, 1 Si 3.04
Se 0.5000 0.5000 0.0000  8 Si 2.79
Cl 0.5000 0.5000 0.5000  8 Si 3.00, 4 Cl 3.30